No. 1
# GGA-PBE PCl3F6, relaxed
data_PCl3F6
_chemical_formula_sum 'P2 Cl6 F12'
_cell_length_a 10.877
_cell_length_b 6.291
_cell_length_c 5.451
_cell_angle_alpha 90.00
_cell_angle_beta 91.83
_cell_angle_gamma 90.00
_symmetry_space_group_name_H-M 'C 1 2/m 1'
_symmetry_Int_Tables_number 12
loop_
_symmetry_equiv_pos_as_xyz
'x,y,z'
'-x,-y,-z'
'-x,y,-z'
'x,-y,z'
'x+1/2,y+1/2,z'
'-x+1/2,-y+1/2,-z'
'-x+1/2,y+1/2,-z'
'x+1/2,-y+1/2,z'
loop_
_atom_site_label
_atom_site_type_symbol
_atom_site_fract_x
_atom_site_fract_y
_atom_site_fract_z
P1 P 0.000 0.000 0.000
Cl1 Cl 0.000 0.500 0.500
Cl2 Cl 0.178 0.500 0.352
F1 F 0.085 0.185 0.877
F2 F 0.091 0.000 0.244
# Spin magnetization in μB/cell: 3.742
# Density of states at the Fermi level in states/eV/f.u.: 0.3
# Formation energy (no corrections) in meV/atom: -1524

No. 2
# GGA-PBE Sm5Cd4Cu, relaxed
data_Sm5Cd4Cu
_chemical_formula_sum 'Sm5 Cd4 Cu1'
_cell_length_a 3.719
_cell_length_b 3.719
_cell_length_c 19.295
_cell_angle_alpha 90.00
_cell_angle_beta 90.00
_cell_angle_gamma 90.00
_symmetry_space_group_name_H-M 'P 4/m m m'
_symmetry_Int_Tables_number 123
_symmetry_space_group_name_Hall '-P 4 2'
loop_
_atom_site_label
_atom_site_type_symbol
_atom_site_fract_x
_atom_site_fract_y
_atom_site_fract_z
Sm1 Sm 0.000 0.000 0.000
Sm2 Sm 0.000 0.000 0.206
Sm3 Sm 0.000 0.000 0.413
Cd1 Cd 0.500 0.500 0.103
Cd2 Cd 0.500 0.500 0.308
Cu1 Cu 0.500 0.500 0.500
# Spin magnetization in μB/cell: 0.682
# E_tot in eV per atom: -3.41
# Density of states at the Fermi level in states/eV/f.u.: 11.4

No. 3
# GGA-PBE Pm3Nd2Tm6, relaxed
data_Pm3Nd2Tm6
_chemical_formula_sum 'Pm6 Nd4 Tm12'
_cell_length_a 6.130
_cell_length_b 10.632
_cell_length_c 11.625
_cell_angle_alpha 90.00
_cell_angle_beta 100.16
_cell_angle_gamma 90.00
_symmetry_space_group_name_H-M 'C 1 2/m 1'
_symmetry_Int_Tables_number 12
loop_
_symmetry_equiv_pos_as_xyz
'x,y,z'
'-x,-y,-z'
'-x,y,-z'
'x,-y,z'
'x+1/2,y+1/2,z'
'-x+1/2,-y+1/2,-z'
'-x+1/2,y+1/2,-z'
'x+1/2,-y+1/2,z'
loop_
_atom_site_label
_atom_site_type_symbol
_atom_site_fract_x
_atom_site_fract_y
_atom_site_fract_z
Pm1 Pm 0.000 0.000 0.000
Pm2 Pm 0.000 0.336 0.000
Nd1 Nd 0.000 0.167 0.500
Tm1 Tm 0.249 0.500 0.250
Tm2 Tm 0.250 0.166 0.250
# Spin magnetization in μB/cell: 0.001
# E_tot in eV per atom: -4.41
# Density of states at the Fermi level in states/eV/f.u.: 15.4

No. 4
# GGA-PBE Pr2PbCl, relaxed
data_Pr2PbCl
_chemical_formula_sum 'Pr6 Pb3 Cl3'
_cell_length_a 4.4100
_cell_length_b 4.4100
_cell_length_c 22.9261
_cell_angle_alpha 90.00
_cell_angle_beta 90.00
_cell_angle_gamma 120.00
_symmetry_space_group_name_H-M 'R 3 m'
_symmetry_Int_Tables_number 160
_symmetry_space_group_name_Hall 'R 3 -2"'
loop_
_atom_site_label
_atom_site_type_symbol
_atom_site_fract_x
_atom_site_fract_y
_atom_site_fract_z
Pr1 Pr 0.0000 0.0000 0.0000
Pr2 Pr 0.0000 0.0000 0.1746
Pb1 Pb 0.0000 0.0000 0.5879
Cl1 Cl 0.0000 0.0000 0.4168
# Spin magnetization in μB/cell: 0.014
# Density of states at the Fermi level in states/eV/f.u.: 3.6
# Formation energy (no corrections) in meV/atom: -889

No. 5
# GGA-PBE Al3CoW9C3, relaxed
data_Al3CoW9C3
_chemical_formula_sum 'Al6 Co2 W18 C6'
_cell_length_a 7.9425
_cell_length_b 7.9425
_cell_length_c 7.8676
_cell_angle_alpha 90.00
_cell_angle_beta 90.00
_cell_angle_gamma 120.00
_symmetry_space_group_name_H-M 'P 63/m m c'
_symmetry_Int_Tables_number 194
_symmetry_space_group_name_Hall '-P 6c 2c'
loop_
_atom_site_label
_atom_site_type_symbol
_atom_site_fract_x
_atom_site_fract_y
_atom_site_fract_z
Al1 Al 0.1103 0.2205 0.2500
Co1 Co 0.0000 0.0000 0.0000
W1 W 0.1032 0.5516 0.2500
W2 W 0.2043 0.4085 0.5728
C1 C 0.0000 0.5000 0.0000
# Spin magnetization in μB/cell: 1.337
# E_tot in eV per atom: -10.27
# Density of states at the Fermi level in states/eV/f.u.: 10.2

No. 6
# GGA-PBE CaSiAs, relaxed
data_CaSiAs
_chemical_formula_sum 'Ca4 Si4 As4'
_cell_length_a 6.716
_cell_length_b 6.716
_cell_length_c 6.716
_cell_angle_alpha 90.00
_cell_angle_beta 90.00
_cell_angle_gamma 90.00
_symmetry_space_group_name_H-M 'F -4 3 m'
_symmetry_Int_Tables_number 216
_symmetry_space_group_name_Hall 'F -4 2 3'
loop_
_atom_site_label
_atom_site_type_symbol
_atom_site_fract_x
_atom_site_fract_y
_atom_site_fract_z
Ca1 Ca 0.000 0.000 0.000
Si1 Si 0.250 0.250 0.750
As1 As 0.000 0.000 0.500
# Spin magnetization in μB/cell: 0.000
# Density of states at the Fermi level in states/eV/f.u.: 0.8
# Formation energy (no corrections) in meV/atom: -77